! LaCe3Sm2Sb6 PBE optimized geometry; values from VASP
&SYSTEM
  ibrav = 0, nat = 12, ntyp = 4
/
ATOMIC_SPECIES
Sb 121.76 Sb.upf
La 138.91 La.upf
Ce 140.12 Ce.upf
Sm 150.36 Sm.upf
CELL_PARAMETERS angstrom
-0.523 4.392 -6.444
-2.697 -7.336 -0.042
-5.537 3.401 4.348
ATOMIC_POSITIONS crystal
Sb 0.084 0.422 0.253
Sb 0.422 0.084 0.253
Sb 0.916 0.578 0.747
Sb 0.254 0.254 0.749
Sb 0.746 0.746 0.251
Sb 0.578 0.916 0.747
La 0.000 0.000 0.000
Ce 0.500 0.500 0.500
Ce 0.835 0.165 0.500
Ce 0.165 0.835 0.500
Sm 0.667 0.333 0.000
Sm 0.333 0.667 0.000
! - Raw total energy: -70.4 eV/cell
! - Calculated density: 6.8 g/cm3
! - DOS at the Fermi energy: 20.0 states/eV/f.u.
! - Space-group type: C2/m, No. 12
! - V: 390 Å³/cell


! RbLiCeI6 PBE optimized geometry; values from VASP
&SYSTEM
  ibrav = 0, nat = 18, ntyp = 4
/
ATOMIC_SPECIES
Rb 85.47 Rb.upf
I 126.90 I.upf
Ce 140.12 Ce.upf
Li 6.94 Li.upf
CELL_PARAMETERS angstrom
7.813 0.000 0.000
-3.906 6.766 0.000
0.000 0.000 16.514
ATOMIC_POSITIONS crystal
Rb 0.000 0.000 0.500
Rb 0.000 0.000 0.000
I 0.368 0.999 0.644
I 0.368 0.368 0.856
I 0.632 0.001 0.356
I 0.368 0.001 0.144
I 0.001 0.632 0.856
I 0.632 0.632 0.644
I 0.368 0.368 0.356
I 0.999 0.368 0.144
I 0.999 0.632 0.356
I 0.632 0.632 0.144
I 0.632 0.999 0.856
I 0.001 0.368 0.644
Ce 0.333 0.667 0.250
Ce 0.667 0.333 0.750
Li 0.667 0.333 0.250
Li 0.333 0.667 0.750
! - Raw total energy: -58.4 eV/cell
! - Calculated density: 3.8 g/cm3
! - Space-group type: P-31c, No. 163
! - V: 873 Å³/cell


! LaAsOsBr2 PBE optimized geometry; values from VASP
&SYSTEM
  ibrav = 0, nat = 5, ntyp = 4
/
ATOMIC_SPECIES
Os 190.23 Os.upf
As 74.92 As.upf
Br 79.90 Br.upf
La 138.91 La.upf
CELL_PARAMETERS angstrom
5.669 0.000 0.000
0.000 5.669 0.000
0.000 0.000 6.080
ATOMIC_POSITIONS crystal
Os 0.500 0.500 0.500
As 0.000 0.000 0.500
Br 0.000 0.500 0.000
Br 0.500 0.000 0.000
La 0.000 0.000 0.000
! - Excess energy over the best structure of this formula in the dataset: 845 meV/atom
! - Calculated density: 4.8 g/cm3
! - DOS at the Fermi energy: 9.7 states/eV/f.u.
! - Space-group type: P4/mmm, No. 123
! - V: 195 Å³/cell


! CeMg6Zn6 PBE optimized geometry; values from VASP
&SYSTEM
  ibrav = 0, nat = 13, ntyp = 3
/
ATOMIC_SPECIES
Zn 65.41 Zn.upf
Mg 24.30 Mg.upf
Ce 140.12 Ce.upf
CELL_PARAMETERS angstrom
-0.912 -5.055 -1.851
5.518 -2.478 -4.003
2.351 -5.067 4.628
ATOMIC_POSITIONS crystal
Zn 0.500 0.000 0.500
Zn 0.000 0.000 0.500
Zn 0.500 0.778 0.222
Zn 0.500 0.222 0.778
Zn 0.500 0.500 0.000
Zn 0.000 0.500 0.000
Mg 0.300 0.200 0.200
Mg 0.348 0.652 0.652
Mg 0.700 0.800 0.800
Mg 0.000 0.346 0.654
Mg 0.000 0.654 0.346
Mg 0.652 0.348 0.348
Ce 0.000 0.000 0.000
! - Raw total energy: -25.1 eV/cell
! - Calculated density: 4.6 g/cm3
! - DOS at the Fermi energy: 10.0 states/eV/f.u.
! - Space-group type: Immm, No. 71
! - V: 247 Å³/cell


! CdGe2Sb PBE optimized geometry; values from VASP
&SYSTEM
  ibrav = 0, nat = 4, ntyp = 3
/
ATOMIC_SPECIES
Ge 72.64 Ge.upf
Sb 121.76 Sb.upf
Cd 112.41 Cd.upf
CELL_PARAMETERS angstrom
0.839 -4.631 -1.801
0.032 -3.952 3.127
-3.750 -3.363 -0.150
ATOMIC_POSITIONS crystal
Ge 0.250 0.250 0.250
Ge 0.750 0.750 0.750
Sb 0.500 0.500 0.500
Cd 0.000 0.000 0.000
! - Excess energy over the best structure of this formula in the dataset: 95 meV/atom
! - Calculated density: 7.0 g/cm3
! - DOS at the Fermi energy: 1.9 states/eV/f.u.
! - Space-group type: Fm-3m, No. 225
! - V: 90 Å³/cell